GGA-PBE CuSiS, optimized geometry; E_form (uncorrected) = -0.324 eV per formula unit; D(E_F) = 0.03 states/eV per atom
1.0
-0.676 1.718 -3.476
-4.350 0.618 2.060
2.777 4.356 2.341
S Si Cu
2 2 2
Cartesian
-1.196 1.529 -0.888 S
-2.666 3.121 2.622 S
-1.298 5.555 0.043 Si
0.227 4.144 1.330 Si
-1.993 3.196 0.398 Cu
-0.306 2.240 -2.896 Cu